Computed, not measured: a relaxed structure of CdReGe2O at the PBE level of DFT.

abc: 5.0655 5.0655 3.7629
angles: 90.00 90.00 90.00
With the nearest neighbours (Å) after each atom.
Fractional positions:
Cd1 0.0000 0.0000 0.0000  8 Ge 3.16
Re1 0.5000 0.5000 0.5000  2 O 1.88
Ge1 0.0000 0.5000 0.5000  2 Re 2.53
Ge2 0.5000 0.0000 0.5000  2 Re 2.53
O1 0.5000 0.5000 0.0000  2 Re 1.88

Summary:
The magnetic moment is 0.00 μB/cell. The formation energy without anion corrections is -0.10 eV/atom. The value obtained for the volume is 19.31 A^3/atom.

Computed, not measured: a relaxed structure of TiAl2Ir at the PBE level of DFT.

abc: 3.9023 3.9023 3.9178
angles: 90.00 90.00 90.00
With the nearest neighbours (Å) after each atom.
Fractional positions:
Ti1 0.0000 0.0000 0.0000  4 Ir 2.76, 8 Al 2.76
Al1 0.0000 0.5000 0.5000  4 Al 2.76, 4 Ir 2.76, 4 Ti 2.76
Al2 0.5000 0.0000 0.5000  4 Al 2.76, 4 Ir 2.76, 4 Ti 2.76
Ir1 0.5000 0.5000 0.0000  4 Ti 2.76, 8 Al 2.76

Summary:
The magnetic moment is 0.00 μB/cell. Its formation energy from the elements is -0.667 eV/atom. The value obtained for the volume is 14.92 A^3/atom.

Computed, not measured: a relaxed structure of Sr3I2O2 at the PBE level of DFT.

abc: 3.8164 6.6177 8.3593
angles: 99.23 90.02 106.75
With the nearest neighbours (Å) after each atom.
Fractional positions:
Sr1 0.0000 0.0000 0.0000  4 O 2.68
Sr2 0.2197 0.4398 0.8104  3 O 2.46-2.53
Sr3 0.7803 0.5602 0.1896  3 O 2.46-2.53
I1 0.1176 0.2345 0.3750  3 Sr 3.24-3.37
I2 0.8824 0.7655 0.6250  3 Sr 3.24-3.37
O1 0.3610 0.7220 0.0520  5 Sr 2.46-2.68
O2 0.6390 0.2780 0.9480  5 Sr 2.46-2.68

Summary:
The magnetic moment is 0.00 μB/cell. The formation energy without anion corrections is -2.19 eV/atom. The calculation puts the polymorph energy (0 for the lowest one) at 88.3 meV/atom. The value obtained for the volume is 28.47 A^3/atom.

Computed, not measured: a relaxed structure of Sc4ZnRh2 at the PBE level of DFT.

abc: 7.8210 7.8210 7.8210
angles: 34.23 34.23 34.23
With the nearest neighbours (Å) after each atom.
Fractional positions:
Sc1 0.1188 0.1188 0.1188  4 Rh 2.75-2.82, 3 Zn 2.86
Sc2 0.3706 0.3706 0.3706  4 Rh 2.74-2.87, 1 Zn 2.86
Sc3 0.6294 0.6294 0.6294  4 Rh 2.74-2.87, 1 Zn 2.86
Sc4 0.8812 0.8812 0.8812  4 Rh 2.75-2.82, 3 Zn 2.86
Zn1 0.5000 0.5000 0.5000  8 Sc 2.86, 6 Rh 3.19
Rh1 0.2464 0.2464 0.2464  8 Sc 2.74-2.87
Rh2 0.7536 0.7536 0.7536  8 Sc 2.74-2.87

Summary:
The magnetic moment is 0.00 μB/cell. Its formation energy from the elements is -0.649 eV/atom. The value obtained for the volume is 19.28 A^3/atom.

Computed, not measured: a relaxed structure of Cs3TeO3 at the PBE level of DFT.

abc: 9.0929 9.0929 6.2640
angles: 90.00 90.00 119.94
With the nearest neighbours (Å) after each atom.
Fractional positions:
Cs1 0.1770 0.8230 0.7500  4 O 3.03-3.16
Cs2 0.1778 0.3550 0.7500  4 O 3.02-3.16
Cs3 0.3550 0.1778 0.2500  4 O 3.02-3.16
Cs4 0.6450 0.8222 0.7500  4 O 3.02-3.16
Cs5 0.8222 0.6450 0.2500  4 O 3.02-3.16
Cs6 0.8230 0.1770 0.2500  4 O 3.03-3.16
Te1 0.3331 0.6669 0.2500  3 O 2.04
Te2 0.6669 0.3331 0.7500  3 O 2.04
O1 0.2033 0.7967 0.2500  1 Te 2.04
O2 0.2041 0.4076 0.2500  1 Te 2.04
O3 0.4076 0.2041 0.7500  1 Te 2.04
O4 0.5924 0.7959 0.2500  1 Te 2.04
O5 0.7959 0.5924 0.7500  1 Te 2.04
O6 0.7967 0.2033 0.7500  1 Te 2.04

Summary:
The magnetic moment is 1.94 μB/cell. The formation energy without anion corrections is -1.16 eV/atom. The value obtained for the volume is 32.06 A^3/atom.

Computed, not measured: a relaxed structure of TiCdPd2 at the PBE level of DFT.

abc: 8.9459 8.9459 8.9459
angles: 19.24 19.24 19.24
With the nearest neighbours (Å) after each atom.
Fractional positions:
Ti1 0.0000 0.0000 0.0000  6 Pd 2.66
Cd1 0.5000 0.5000 0.5000  6 Pd 2.93, 6 Cd 2.99
Pd1 0.2566 0.2566 0.2566  3 Ti 2.66, 3 Cd 2.93
Pd2 0.7434 0.7434 0.7434  3 Ti 2.66, 3 Cd 2.93

Summary:
The magnetic moment is 0.00 μB/cell. Its formation energy from the elements is -0.364 eV/atom. The value obtained for the volume is 16.98 A^3/atom.

Computed, not measured: a relaxed structure of Na2RhN2 at the PBE level of DFT.

abc: 5.1898 5.1898 4.3073
angles: 90.00 90.00 90.00
With the nearest neighbours (Å) after each atom.
Fractional positions:
Na1 0.1809 0.3191 0.0000  6 N 2.62-2.71, 5 Na 2.66-2.69, 4 Rh 2.87
Na2 0.3191 0.8191 0.0000  6 N 2.62-2.71, 5 Na 2.66-2.69, 4 Rh 2.87
Na3 0.6809 0.1809 0.0000  6 N 2.62-2.71, 5 Na 2.66-2.69, 4 Rh 2.87
Na4 0.8191 0.6809 0.0000  6 N 2.62-2.71, 5 Na 2.66-2.69, 4 Rh 2.87
Rh1 0.0000 0.0000 0.5000  4 N 2.16
Rh2 0.5000 0.5000 0.5000  4 N 2.16
N1 0.0951 0.5951 0.5000  1 N 1.40
N2 0.4049 0.0951 0.5000  1 N 1.40
N3 0.5951 0.9049 0.5000  1 N 1.40
N4 0.9049 0.4049 0.5000  1 N 1.40

Summary:
The magnetic moment is 0.00 μB/cell. The formation energy without anion corrections is 0.19 eV/atom. The value obtained for the volume is 11.60 A^3/atom.

Computed, not measured: a relaxed structure of Sc6Bi2Rh at the PBE level of DFT.

abc: 6.2869 6.2869 13.5880
angles: 90.00 90.00 90.00
With the nearest neighbours (Å) after each atom.
Fractional positions:
Sc1 0.1838 0.1838 0.1370  1 Rh 2.48
Sc2 0.1838 0.1838 0.8630  1 Rh 2.48
Sc3 0.2069 0.2069 0.5000  1 Rh 2.61
Sc4 0.2931 0.7069 0.0000  1 Rh 2.61
Sc5 0.3162 0.6838 0.3630  1 Rh 2.48
Sc6 0.3162 0.6838 0.6370  1 Rh 2.48
Sc7 0.6838 0.3162 0.3630  1 Rh 2.48
Sc8 0.6838 0.3162 0.6370  1 Rh 2.48
Sc9 0.7069 0.2931 0.0000  1 Rh 2.61
Sc10 0.7931 0.7931 0.5000  1 Rh 2.61
Sc11 0.8162 0.8162 0.1370  1 Rh 2.48
Sc12 0.8162 0.8162 0.8630  1 Rh 2.48
Bi1 0.0000 0.0000 0.3209  6 Sc 2.87-3.05
Bi2 0.0000 0.0000 0.6791  6 Sc 2.87-3.05
Bi3 0.5000 0.5000 0.1791  6 Sc 2.87-3.05
Bi4 0.5000 0.5000 0.8209  6 Sc 2.87-3.05
Rh1 0.0000 0.0000 0.0000  6 Sc 2.48-2.61
Rh2 0.5000 0.5000 0.5000  6 Sc 2.48-2.61

Summary:
The magnetic moment is 0.41 μB/cell. Its formation energy from the elements is -0.169 eV/atom. The value obtained for the volume is 29.84 A^3/atom.

Computed, not measured: a relaxed structure of TcSbAuI2 at the PBE level of DFT.

abc: 5.4553 5.4553 5.1466
angles: 90.00 90.00 90.00
With the nearest neighbours (Å) after each atom.
Fractional positions:
Tc1 0.0000 0.0000 0.0000  2 Sb 2.57, 4 I 2.73
Sb1 0.0000 0.0000 0.5000  2 Tc 2.57
Au1 0.5000 0.5000 0.5000  8 I 3.75, 4 Sb 3.86
I1 0.0000 0.5000 0.0000  2 Tc 2.73
I2 0.5000 0.0000 0.0000  2 Tc 2.73

Summary:
The magnetic moment is 1.46 μB/cell. The formation energy without anion corrections is 0.72 eV/atom. The calculation puts the polymorph energy (0 for the lowest one) at 0.0 meV/atom. The value obtained for the volume is 30.63 A^3/atom.

> The highest magnetic moment belongs to which entry?

Cs3TeO3